# YZn2Sb2

A geometry-optimized YZn2Sb2 structure (PBE-GGA, the Alexandria database).

Output
Magnetization = 0.000 Bohr magnetons per cell
Electronic total energy = -18.7 eV/f.u.
Crystal system = tetragonal

a b c (Å): 4.024 4.024 7.903
angles (deg): 75.25 75.25 90.00
Element x y z (fractional)
Zn: 0.750 0.250 0.500
Zn: 0.250 0.750 0.500
Sb: 0.611 0.611 0.779
Sb: 0.389 0.389 0.221
Y: 0.000 0.000 0.000